Li2Si2S | GGA-PBEsol | relaxed

Output
DOS(E_F), states/eV/cell: 2.25
Theoretical density, g/cm³: 1.984
Uncorrected formation energy, kJ per mole of atoms: -26.32

Lattice parameters (Å, degrees): 8.008 8.008 8.008 155.91 155.91 34.33
Atoms (fractional coordinates):
Li: 0.080 0.080 0.000
Li: 0.920 0.920 0.000
Si: 0.250 0.750 0.500
Si: 0.750 0.250 0.500
S: 0.500 0.500 0.000

LaYMnC2 | GGA-PBEsol | relaxed

Output
E_form, kJ/mol of atoms: 178
DOS(E_F), states/eV/cell: 5.24
Theoretical density, g/cm³: 5.323

Lattice parameters (Å, degrees): 4.504 4.504 4.717 90.00 90.00 90.00
Atoms (fractional coordinates):
La: 0.000 0.000 0.000
Y: 0.500 0.500 0.500
Mn: 0.000 0.000 0.500
C: 0.000 0.500 0.000
C: 0.500 0.000 0.000

YS2N | GGA-PBEsol | relaxed

Output
DOS(E_F), states/eV/cell: 1.86
Theoretical density, g/cm³: 3.306
Uncorrected formation energy, kJ per mole of atoms: -28.41

Lattice parameters (Å, degrees): 6.507 6.507 6.507 35.71 35.71 35.71
Atoms (fractional coordinates):
Y: 0.000 0.000 0.000
S: 0.413 0.413 0.413
S: 0.587 0.587 0.587
N: 0.500 0.500 0.500